(1)
Density functional theory data (GGA-PBE) for a geometry-optimized NaReNi structure.

Computed properties:
- Energy relative to the elements: 155 kJ/mol of formula units
- V: 18.315 Å³ per atom
- Space-group type: P4/nmm
- Distance to the lowest polymorph of the same formula: 291 meV/atom

a = 3.785 Å, b = 3.785 Å, c = 7.672 Å
α = 90.00°, β = 90.00°, γ = 90.00°
Atoms (fractional coordinates):
Na1 0.250 0.250 0.140
Na2 0.750 0.750 0.860
Re1 0.250 0.750 0.500
Re2 0.750 0.250 0.500
Ni1 0.250 0.250 0.710
Ni2 0.750 0.750 0.290


(2)
Density functional theory data (GGA-PBE) for a geometry-optimized BaAlHg6 structure.

Computed properties:
- Energy relative to the elements: -131 kJ/mol of formula units
- V: 27.413 Å³ per atom
- Space-group type: R-3m

a = 9.975 Å, b = 9.975 Å, c = 9.975 Å
α = 29.96°, β = 29.96°, γ = 29.96°
Atoms (fractional coordinates):
Ba1 0.000 0.000 0.000
Al1 0.500 0.500 0.500
Hg1 0.139 0.139 0.139
Hg2 0.253 0.253 0.253
Hg3 0.399 0.399 0.399
Hg4 0.601 0.601 0.601
Hg5 0.747 0.747 0.747
Hg6 0.861 0.861 0.861


(3)
Density functional theory data (GGA-PBE) for a geometry-optimized TcPt2Br structure.

Computed properties:
- E_form (uncorrected): 0.581 eV per atom
- V: 17.902 Å³ per atom
- Space-group type: Imm2
- Distance to the lowest polymorph of the same formula: 371 meV/atom

a = 6.010 Å, b = 6.010 Å, c = 6.010 Å
α = 152.74°, β = 133.61°, γ = 54.64°
Atoms (fractional coordinates):
Tc1 0.000 0.000 0.000
Pt1 0.547 0.547 0.000
Pt2 0.796 0.296 0.500
Br1 0.206 0.706 0.500